DFT (GGA-PBE) results for a geometry-optimized LaZrCu4 structure.

Properties
crystal system	cubic
formation energy	0.0013	eV per atom
V	16.9	Å³/atom
total moment	0.01	μB/cell

Unit cell a=5.2387 b=5.2387 c=5.2387 alpha=60.00 beta=60.00 gamma=60.00
Atoms (fractional coordinates):
La 0.0000 0.0000 0.0000
Zr 0.7500 0.7500 0.7500
Cu 0.3764 0.3764 0.3764
Cu 0.3764 0.3764 0.8709
Cu 0.3764 0.8709 0.3764
Cu 0.8709 0.3764 0.3764